one:
A geometry-optimized NaLi2Mo structure, computed with PBE.

The structure in CIF format:
```
data_NaLi2Mo
_chemical_formula_sum 'Na4 Li8 Mo4'
_cell_length_a 7.424
_cell_length_b 7.424
_cell_length_c 6.035
_cell_angle_alpha 90.00
_cell_angle_beta 90.00
_cell_angle_gamma 90.00
_space_group_name_H-M_alt 'I -4 2 d'
_space_group_IT_number 122
_space_group_name_Hall 'I -4 2bw'
loop_
_atom_site_label
_atom_site_fract_x
_atom_site_fract_y
_atom_site_fract_z
_atom_site_occupancy
Na1 0.000 0.000 0.000 1
Li1 0.250 0.250 0.375 1
Mo1 0.000 0.000 0.500 1
```

---

two:
A geometry-optimized NaLi2Mo structure, computed with PBE.

The structure in CIF format:
```
data_NaLi2Mo
_chemical_formula_sum 'Na4 Li8 Mo4'
_cell_length_a 7.004
_cell_length_b 7.004
_cell_length_c 7.004
_cell_angle_alpha 90.00
_cell_angle_beta 90.00
_cell_angle_gamma 90.00
_space_group_name_H-M_alt 'F m -3 m'
_space_group_IT_number 225
_space_group_name_Hall '-F 4 2 3'
loop_
_atom_site_label
_atom_site_fract_x
_atom_site_fract_y
_atom_site_fract_z
_atom_site_occupancy
Na1 0.000 0.000 0.000 1
Li1 0.250 0.250 0.250 1
Mo1 0.000 0.000 0.500 1
```

---

Most stable one: two, least stable one: one.

---

one:
A geometry-optimized NaLiMo2 structure, computed with PBE.

The structure in CIF format:
```
data_NaLiMo2
_chemical_formula_sum 'Na4 Li4 Mo8'
_cell_length_a 6.320
_cell_length_b 6.320
_cell_length_c 6.320
_cell_angle_alpha 90.00
_cell_angle_beta 90.00
_cell_angle_gamma 90.00
_space_group_name_H-M_alt 'F m -3 m'
_space_group_IT_number 225
_space_group_name_Hall '-F 4 2 3'
loop_
_atom_site_label
_atom_site_fract_x
_atom_site_fract_y
_atom_site_fract_z
_atom_site_occupancy
Na1 0.000 0.000 0.000 1
Li1 0.000 0.000 0.500 1
Mo1 0.250 0.250 0.250 1
```

---

two:
A geometry-optimized NaLiMo2 structure, computed with PBE.

The structure in CIF format:
```
data_NaLiMo2
_chemical_formula_sum 'Na4 Li4 Mo8'
_cell_length_a 3.624
_cell_length_b 3.624
_cell_length_c 21.989
_cell_angle_alpha 90.00
_cell_angle_beta 90.00
_cell_angle_gamma 90.00
_space_group_name_H-M_alt 'I -4 2 d'
_space_group_IT_number 122
_space_group_name_Hall 'I -4 2bw'
loop_
_atom_site_label
_atom_site_fract_x
_atom_site_fract_y
_atom_site_fract_z
_atom_site_occupancy
Na1 0.000 0.000 0.000 1
Li1 0.000 0.000 0.500 1
Mo1 0.243 0.750 0.625 1
```

---

Most stable one: two, least stable one: one.

---

one:
A geometry-optimized Na2LiMo structure, computed with PBE.

The structure in CIF format:
```
data_Na2LiMo
_chemical_formula_sum 'Na8 Li4 Mo4'
_cell_length_a 8.357
_cell_length_b 8.357
_cell_length_c 6.068
_cell_angle_alpha 90.00
_cell_angle_beta 90.00
_cell_angle_gamma 90.00
_space_group_name_H-M_alt 'I -4 2 d'
_space_group_IT_number 122
_space_group_name_Hall 'I -4 2bw'
loop_
_atom_site_label
_atom_site_fract_x
_atom_site_fract_y
_atom_site_fract_z
_atom_site_occupancy
Na1 0.224 0.250 0.125 1
Li1 0.000 0.000 0.000 1
Mo1 0.000 0.000 0.500 1
```

---

two:
A geometry-optimized Na2LiMo structure, computed with PBE.

The structure in CIF format:
```
data_Na2LiMo
_chemical_formula_sum 'Na8 Li4 Mo4'
_cell_length_a 7.489
_cell_length_b 7.489
_cell_length_c 7.489
_cell_angle_alpha 90.00
_cell_angle_beta 90.00
_cell_angle_gamma 90.00
_space_group_name_H-M_alt 'F m -3 m'
_space_group_IT_number 225
_space_group_name_Hall '-F 4 2 3'
loop_
_atom_site_label
_atom_site_fract_x
_atom_site_fract_y
_atom_site_fract_z
_atom_site_occupancy
Na1 0.250 0.250 0.250 1
Li1 0.000 0.000 0.000 1
Mo1 0.000 0.000 0.500 1
```

---

Most stable one: two, least stable one: one.

---

one:
A geometry-optimized Na3LiMo structure, computed with PBE.

The structure in CIF format:
```
data_Na3LiMo
_chemical_formula_sum 'Na3 Li1 Mo1'
_cell_length_a 5.961
_cell_length_b 5.961
_cell_length_c 5.961
_cell_angle_alpha 90.00
_cell_angle_beta 90.00
_cell_angle_gamma 90.00
_space_group_name_H-M_alt 'P m -3 m'
_space_group_IT_number 221
_space_group_name_Hall '-P 4 2 3'
loop_
_atom_site_label
_atom_site_fract_x
_atom_site_fract_y
_atom_site_fract_z
_atom_site_occupancy
Na1 0.000 0.000 0.500 1
Li1 0.500 0.500 0.500 1
Mo1 0.000 0.000 0.000 1
```

---

two:
A geometry-optimized Na3LiMo structure, computed with PBE.

The structure in CIF format:
```
data_Na3LiMo
_chemical_formula_sum 'Na3 Li1 Mo1'
_cell_length_a 5.382
_cell_length_b 5.382
_cell_length_c 5.382
_cell_angle_alpha 90.00
_cell_angle_beta 90.00
_cell_angle_gamma 90.00
_space_group_name_H-M_alt 'P m -3 m'
_space_group_IT_number 221
_space_group_name_Hall '-P 4 2 3'
loop_
_atom_site_label
_atom_site_fract_x
_atom_site_fract_y
_atom_site_fract_z
_atom_site_occupancy
Na1 0.000 0.000 0.500 1
Li1 0.000 0.000 0.000 1
Mo1 0.500 0.500 0.500 1
```

---

Most stable one: two, least stable one: one.

---

one:
A geometry-optimized Na2Li2Mo structure, computed with PBE.

The structure in CIF format:
```
data_Na2Li2Mo
_chemical_formula_sum 'Na4 Li4 Mo2'
_cell_length_a 8.380
_cell_length_b 8.380
_cell_length_c 2.666
_cell_angle_alpha 90.00
_cell_angle_beta 90.00
_cell_angle_gamma 90.00
_space_group_name_H-M_alt 'P 4/m b m'
_space_group_IT_number 127
_space_group_name_Hall '-P 4 2ab'
loop_
_atom_site_label
_atom_site_fract_x
_atom_site_fract_y
_atom_site_fract_z
_atom_site_occupancy
Na1 0.131 0.369 0.000 1
Li1 0.181 0.681 0.500 1
Mo1 0.000 0.000 0.000 1
```

---

two:
A geometry-optimized Na2Li2Mo structure, computed with PBE.

The structure in CIF format:
```
data_Na2Li2Mo
_chemical_formula_sum 'Na4 Li4 Mo2'
_cell_length_a 3.026
_cell_length_b 3.026
_cell_length_c 22.266
_cell_angle_alpha 90.00
_cell_angle_beta 90.00
_cell_angle_gamma 90.00
_space_group_name_H-M_alt 'I 4/m m m'
_space_group_IT_number 139
_space_group_name_Hall '-I 4 2'
loop_
_atom_site_label
_atom_site_fract_x
_atom_site_fract_y
_atom_site_fract_z
_atom_site_occupancy
Na1 0.000 0.000 0.115 1
Li1 0.000 0.500 0.250 1
Mo1 0.000 0.000 0.500 1
```

---

Most stable one: one, least stable one: two.

---

one:
A geometry-optimized Li2NbMo structure, computed with PBE.

The structure in CIF format:
```
data_Li2NbMo
_chemical_formula_sum 'Li8 Nb4 Mo4'
_cell_length_a 7.171
_cell_length_b 7.171
_cell_length_c 4.919
_cell_angle_alpha 90.00
_cell_angle_beta 90.00
_cell_angle_gamma 90.00
_space_group_name_H-M_alt 'I -4 2 d'
_space_group_IT_number 122
_space_group_name_Hall 'I -4 2bw'
loop_
_atom_site_label
_atom_site_fract_x
_atom_site_fract_y
_atom_site_fract_z
_atom_site_occupancy
Li1 0.242 0.250 0.125 1
Nb1 0.000 0.000 0.500 1
Mo1 0.000 0.000 0.000 1
```

---

two:
A geometry-optimized Li2NbMo structure, computed with PBE.

The structure in CIF format:
```
data_Li2NbMo
_chemical_formula_sum 'Li8 Nb4 Mo4'
_cell_length_a 6.127
_cell_length_b 6.127
_cell_length_c 6.127
_cell_angle_alpha 90.00
_cell_angle_beta 90.00
_cell_angle_gamma 90.00
_space_group_name_H-M_alt 'F m -3 m'
_space_group_IT_number 225
_space_group_name_Hall '-F 4 2 3'
loop_
_atom_site_label
_atom_site_fract_x
_atom_site_fract_y
_atom_site_fract_z
_atom_site_occupancy
Li1 0.250 0.250 0.250 1
Nb1 0.000 0.000 0.000 1
Mo1 0.000 0.000 0.500 1
```

---

Most stable one: two, least stable one: one.